Version one
The following is a DFT calculation (PBE) of an optimized crystal structure of Ac2ErIn2.

Output
The theoretical density comes out at 8.07 Mg/m³. The calculation puts the density of states at the Fermi level at 5.3 states/eV/f.u. Its space group is No. 12.

abc: 6.943 6.943 12.212
angles: 116.99 116.99 42.96
Sites, in units of the cell vectors:
Ac 0.017 0.017 0.181
Ac 0.186 0.186 0.603
Ac 0.814 0.814 0.397
Ac 0.983 0.983 0.819
Er 0.286 0.286 0.130
Er 0.714 0.714 0.870
In 0.368 0.368 0.928
In 0.475 0.475 0.608
In 0.525 0.525 0.392
In 0.632 0.632 0.072



Version two
The following is a DFT calculation (PBE) of an optimized crystal structure of Ac2ErIn2.

Output
The theoretical density comes out at 8.07 Mg/m³. The calculation puts the density of states at the Fermi level at 5.9 states/eV/f.u. Its space group is No. 71.

abc: 6.571 6.571 6.571
angles: 134.90 115.45 82.21
Sites, in units of the cell vectors:
Ac 0.198 0.198 0.000
Ac 0.802 0.802 0.000
Er 0.500 0.000 0.500
In 0.221 0.500 0.721
In 0.779 0.500 0.279



It is version one that is the most stable of them.



Version one
The following is a DFT calculation (PBE) of an optimized crystal structure of Ac2ErIn.

Output
The theoretical density comes out at 8.43 Mg/m³. The calculation puts the density of states at the Fermi level at 5.1 states/eV/f.u. Its space group is No. 123.

abc: 4.198 4.198 8.229
angles: 90.00 90.00 90.00
Sites, in units of the cell vectors:
Ac 0.000 0.000 0.232
Ac 0.000 0.000 0.768
Er 0.500 0.500 0.500
In 0.500 0.500 0.000



Version two
The following is a DFT calculation (PBE) of an optimized crystal structure of Ac2ErIn.

Output
The theoretical density comes out at 8.74 Mg/m³. The calculation puts the density of states at the Fermi level at 6.4 states/eV/f.u. Its space group is No. 123.

abc: 5.200 5.200 5.172
angles: 90.00 90.00 90.00
Sites, in units of the cell vectors:
Ac 0.000 0.500 0.000
Ac 0.500 0.000 0.000
Er 0.000 0.000 0.500
In 0.500 0.500 0.500



It is version two that is the most stable of them.



Version one
The following is a DFT calculation (PBE) of an optimized crystal structure of AcErIr.

Output
The theoretical density comes out at 11.43 Mg/m³. The calculation puts the density of states at the Fermi level at 2.4 states/eV/f.u. Its space group is No. 11.

abc: 4.850 4.827 7.361
angles: 90.00 98.52 90.00
Sites, in units of the cell vectors:
Ac 0.228 0.250 0.385
Ac 0.772 0.750 0.615
Er 0.266 0.750 0.008
Er 0.734 0.250 0.992
Ir 0.169 0.250 0.785
Ir 0.831 0.750 0.215



Version two
The following is a DFT calculation (PBE) of an optimized crystal structure of AcErIr.

Output
The theoretical density comes out at 9.65 Mg/m³. The calculation puts the density of states at the Fermi level at 2.3 states/eV/f.u. Its space group is No. 156.

abc: 4.262 4.262 6.411
angles: 90.00 90.00 120.00
Sites, in units of the cell vectors:
Ac 0.000 0.000 0.000
Er 0.667 0.333 0.545
Ir 0.333 0.667 0.743



Version three
The following is a DFT calculation (PBE) of an optimized crystal structure of AcErIr.

Output
The theoretical density comes out at 11.28 Mg/m³. The calculation puts the density of states at the Fermi level at 3.4 states/eV/f.u. Its space group is No. 107.

abc: 7.070 7.070 7.070
angles: 150.34 150.34 42.44
Sites, in units of the cell vectors:
Ac 0.000 0.000 0.000
Er 0.253 0.253 0.000
Ir 0.645 0.645 0.000



Version four
The following is a DFT calculation (PBE) of an optimized crystal structure of AcErIr.

Output
The theoretical density comes out at 9.59 Mg/m³. The calculation puts the density of states at the Fermi level at 1.5 states/eV/f.u. Its space group is No. 74.

abc: 7.401 7.401 7.401
angles: 136.42 132.39 66.51
Sites, in units of the cell vectors:
Ac 0.361 0.111 0.250
Ac 0.639 0.889 0.750
Er 0.099 0.349 0.750
Er 0.901 0.651 0.250
Ir 0.122 0.872 0.250
Ir 0.878 0.128 0.750



It is version one that is the most stable of them.



Version one
The following is a DFT calculation (PBE) of an optimized crystal structure of AcErIr.

Output
The theoretical density comes out at 10.03 Mg/m³. The calculation puts the density of states at the Fermi level at 1.7 states/eV/f.u. Its space group is No. 14.

abc: 6.704 7.228 10.034
angles: 90.00 126.94 90.00
Sites, in units of the cell vectors:
Ac 0.150 0.084 0.386
Ac 0.150 0.416 0.886
Ac 0.850 0.584 0.114
Ac 0.850 0.916 0.614
Er 0.380 0.580 0.615
Er 0.380 0.920 0.115
Er 0.620 0.080 0.885
Er 0.620 0.420 0.385
Ir 0.364 0.738 0.354
Ir 0.364 0.762 0.854
Ir 0.636 0.238 0.146
Ir 0.636 0.262 0.646



Version two
The following is a DFT calculation (PBE) of an optimized crystal structure of AcErIr.

Output
The theoretical density comes out at 10.94 Mg/m³. The calculation puts the density of states at the Fermi level at 3.4 states/eV/f.u. Its space group is No. 216.

abc: 5.012 5.012 5.012
angles: 60.00 60.00 60.00
Sites, in units of the cell vectors:
Ac 0.000 0.000 0.000
Er 0.500 0.500 0.500
Ir 0.750 0.750 0.750



It is version one that is the most stable of them.